Here is crystalline Ga2Au3 at its relaxed geometry from Alexandria. Energies are from PBE-GGA.

For the total DFT energy (no corrections), the calculation gives -98.0 eV for the cell shown. The density of states at the Fermi level is 9.6 states/eV/cell. The value obtained for the formation energy is -0.090 eV per atom.

The structure belongs to space group R-3c (No. 167, hexagonal axes); the cell edges are 6.9464, 6.9464 and 13.6423 Å and the angles 90.00°, 90.00° and 120.00°. Symmetry generates all atoms from Ga at (0.0000, 0.0000, 0.0966) and Au at (0.0000, 0.2553, 0.2500).